{"formula": "Be2AsP", "functional": "PBE", "state": "optimized geometry", "lattice": [[-1.675, 1.675, 4.679], [1.675, -1.675, 4.679], [1.675, 1.675, -4.679]], "species": ["Be", "Be", "As", "P"], "fractional_positions": [[0.000, 0.000, 0.000], [0.750, 0.250, 0.500], [0.500, 0.500, 0.000], [0.250, 0.750, 0.500]], "relative_energy_ev_per_atom": 0.480, "crystal_system": "tetragonal", "rho_g_cm3": 3.92, "e_form_ev_per_atom": 0.460}



{"formula": "Be2AsP", "functional": "PBE", "state": "optimized geometry", "lattice": [[-1.605, 1.610, 5.214], [1.605, -1.610, 5.214], [1.605, 1.610, -5.214]], "species": ["Be", "Be", "As", "P"], "fractional_positions": [[0.000, 0.000, 0.000], [0.819, 0.319, 0.500], [0.186, 0.686, 0.500], [0.458, 0.458, 0.000]], "relative_energy_ev_per_atom": 0.300, "crystal_system": "orthorhombic", "rho_g_cm3": 3.82, "e_form_ev_per_atom": 0.280}



{"formula": "BeAs2P", "functional": "PBE", "state": "optimized geometry", "lattice": [[2.583, -3.558, 0.000], [2.583, 3.558, 0.000], [-2.572, 0.000, 3.562]], "species": ["Be", "As", "As", "P"], "fractional_positions": [[0.000, 0.000, 0.000], [0.000, 0.500, 0.500], [0.500, 0.000, 0.500], [0.500, 0.500, 0.000]], "relative_energy_ev_per_atom": 0.188, "crystal_system": "monoclinic", "rho_g_cm3": 4.82, "e_form_ev_per_atom": 0.274}



{"formula": "BeAs2P", "functional": "PBE", "state": "optimized geometry", "lattice": [[1.723, -2.214, 0.000], [1.723, 2.214, 0.000], [0.000, 0.000, 8.323]], "species": ["Be", "As", "As", "P"], "fractional_positions": [[0.000, 0.000, 0.000], [0.500, 0.500, 0.205], [0.500, 0.500, 0.795], [0.000, 0.000, 0.500]], "relative_energy_ev_per_atom": 0.475, "crystal_system": "orthorhombic", "rho_g_cm3": 4.96, "e_form_ev_per_atom": 0.560}



Please write out number 3 again, unchanged.
{"formula": "BeAs2P", "functional": "PBE", "state": "optimized geometry", "lattice": [[2.583, -3.558, 0.000], [2.583, 3.558, 0.000], [-2.572, 0.000, 3.562]], "species": ["Be", "As", "As", "P"], "fractional_positions": [[0.000, 0.000, 0.000], [0.000, 0.500, 0.500], [0.500, 0.000, 0.500], [0.500, 0.500, 0.000]], "relative_energy_ev_per_atom": 0.188, "crystal_system": "monoclinic", "rho_g_cm3": 4.82, "e_form_ev_per_atom": 0.274}